# 1
Entry from Alexandria via LeMat-Bulk: BaSr after structural relaxation (GGA-PBE).

a = 4.246 Å, b = 4.246 Å, c = 15.079 Å
α = 90.00°, β = 90.00°, γ = 120.00°
Positions (direct):
Ba (0.333, 0.667, 0.000)
Ba (0.667, 0.333, 0.500)
Sr (0.333, 0.667, 0.737)
Sr (0.667, 0.333, 0.237)

Final energy, eV per atom: -1.691
SG: P6_3mc (186)
Relative energy among the computed polymorphs, eV per atom: 0.1117
Energy relative to the elements, eV per atom: 0.112

=====

# 2
Entry from Alexandria via LeMat-Bulk: Pu2Tl3ZnS6 after structural relaxation (GGA-PBE).

a = 6.837 Å, b = 6.837 Å, c = 7.831 Å
α = 98.47°, β = 98.47°, γ = 119.75°
Positions (direct):
Pu (0.167, 0.833, 0.000)
Pu (0.833, 0.167, 0.000)
Tl (0.000, 0.000, 0.500)
Tl (0.331, 0.669, 0.500)
Tl (0.669, 0.331, 0.500)
Zn (0.500, 0.500, 0.000)
S (0.112, 0.436, 0.809)
S (0.236, 0.236, 0.196)
S (0.436, 0.112, 0.809)
S (0.564, 0.888, 0.191)
S (0.764, 0.764, 0.804)
S (0.888, 0.564, 0.191)

Final energy, eV per atom: -6.075
SG: C2/m (12)
Formation energy from raw total energies, eV/f.u.: -11.1

=====

# 3
Entry from Alexandria via LeMat-Bulk: Pr3Ho4Tl4 after structural relaxation (GGA-PBE).

a = 17.428 Å, b = 17.428 Å, c = 17.428 Å
α = 167.62°, β = 162.59°, γ = 21.42°
Positions (direct):
Pr (0.000, 0.000, 0.000)
Pr (0.358, 0.858, 0.500)
Pr (0.642, 0.142, 0.500)
Ho (0.093, 0.593, 0.500)
Ho (0.265, 0.265, 0.000)
Ho (0.735, 0.735, 0.000)
Ho (0.907, 0.407, 0.500)
Tl (0.184, 0.684, 0.500)
Tl (0.453, 0.453, 0.000)
Tl (0.547, 0.547, 0.000)
Tl (0.816, 0.316, 0.500)

Final energy, eV per atom: -3.998
SG: Immm (71)
Energy relative to the elements, eV per atom: -0.169